Record 1
# PBE-GGA Na2LaPdO4, relaxed
data_Na2LaPdO4
_cell_length_a 3.534
_cell_length_b 6.189
_cell_length_c 11.188
_cell_angle_alpha 90.00
_cell_angle_beta 90.00
_cell_angle_gamma 106.59
_symmetry_space_group_name_H-M 'P 1'
_symmetry_Int_Tables_number 1
_symmetry_space_group_name_Hall 'P 1'
loop_
_atom_site_label
_atom_site_type_symbol
_atom_site_fract_x
_atom_site_fract_y
_atom_site_fract_z
_atom_site_occupancy
O1 O 0.441 0.883 0.750 1
O2 O 0.559 0.117 0.250 1
O3 O 0.698 0.396 0.639 1
O4 O 0.000 0.000 0.500 1
O5 O 0.000 0.000 0.000 1
O6 O 0.302 0.604 0.139 1
O7 O 0.302 0.604 0.361 1
O8 O 0.698 0.396 0.861 1
La1 La 0.093 0.186 0.750 1
La2 La 0.907 0.814 0.250 1
Pd1 Pd 0.171 0.343 0.250 1
Pd2 Pd 0.829 0.657 0.750 1
Na1 Na 0.380 0.760 0.958 1
Na2 Na 0.620 0.240 0.458 1
Na3 Na 0.620 0.240 0.042 1
Na4 Na 0.380 0.760 0.542 1
# Mass density in g/cm³: 5.031
# ΔE_f (raw) in meV/atom: -1456.6

=====

Record 2
# PBE-GGA Na3La3PdO8, relaxed
data_Na3La3PdO8
_cell_length_a 7.109
_cell_length_b 7.109
_cell_length_c 6.885
_cell_angle_alpha 121.09
_cell_angle_beta 89.99
_cell_angle_gamma 120.00
_symmetry_space_group_name_H-M 'P 1'
_symmetry_Int_Tables_number 1
_symmetry_space_group_name_Hall 'P 1'
loop_
_atom_site_label
_atom_site_type_symbol
_atom_site_fract_x
_atom_site_fract_y
_atom_site_fract_z
_atom_site_occupancy
O1 O 0.786 0.572 0.296 1
O2 O 0.739 0.478 0.716 1
O3 O 0.786 0.010 0.296 1
O4 O 0.776 0.990 0.704 1
O5 O 0.224 0.010 0.296 1
O6 O 0.261 0.522 0.284 1
O7 O 0.214 0.428 0.704 1
O8 O 0.214 0.990 0.704 1
Na1 Na 0.500 0.500 0.000 1
Na2 Na 0.000 0.000 0.000 1
Na3 Na 0.000 0.500 0.000 1
Pd1 Pd 0.000 0.000 0.500 1
La1 La 0.500 0.500 0.500 1
La2 La 0.500 0.000 0.500 1
La3 La 0.000 0.500 0.500 1
# Mass density in g/cm³: 4.944
# ΔE_f (raw) in meV/atom: -2189.8

=====

Record 3
# PBE-GGA Na3LaPm2O6, relaxed
data_Na3LaPm2O6
_cell_length_a 3.593
_cell_length_b 6.987
_cell_length_c 7.880
_cell_angle_alpha 100.55
_cell_angle_beta 103.18
_cell_angle_gamma 90.00
_symmetry_space_group_name_H-M 'P 1'
_symmetry_Int_Tables_number 1
_symmetry_space_group_name_Hall 'P 1'
loop_
_atom_site_label
_atom_site_type_symbol
_atom_site_fract_x
_atom_site_fract_y
_atom_site_fract_z
_atom_site_occupancy
O1 O 0.325 0.434 0.650 1
O2 O 0.010 0.237 0.019 1
O3 O 0.661 0.109 0.322 1
O4 O 0.675 0.566 0.350 1
O5 O 0.990 0.763 0.981 1
O6 O 0.339 0.891 0.678 1
Pm1 Pm 0.833 0.663 0.665 1
Pm2 Pm 0.167 0.337 0.335 1
Na1 Na 0.500 0.500 0.000 1
Na2 Na 0.830 0.164 0.660 1
Na3 Na 0.170 0.836 0.340 1
La1 La 0.500 0.000 0.000 1
# Mass density in g/cm³: 5.213
# ΔE_f (raw) in meV/atom: -2649.3

=====

Record 4
# PBE-GGA Na2LaPmO4, relaxed
data_Na2LaPmO4
_cell_length_a 3.613
_cell_length_b 6.265
_cell_length_c 6.003
_cell_angle_alpha 110.41
_cell_angle_beta 90.00
_cell_angle_gamma 90.00
_symmetry_space_group_name_H-M 'P 1'
_symmetry_Int_Tables_number 1
_symmetry_space_group_name_Hall 'P 1'
loop_
_atom_site_label
_atom_site_type_symbol
_atom_site_fract_x
_atom_site_fract_y
_atom_site_fract_z
_atom_site_occupancy
Na1 Na 0.000 0.500 0.500 1
Na2 Na 0.500 0.000 0.500 1
O1 O 0.500 0.766 0.784 1
O2 O 0.000 0.744 0.216 1
O3 O 0.500 0.234 0.216 1
O4 O 0.000 0.256 0.784 1
La1 La 0.500 0.500 0.000 1
Pm1 Pm 0.000 0.000 0.000 1
# Mass density in g/cm³: 5.135
# ΔE_f (raw) in meV/atom: -2648.6

=====

Record 5
# PBE-GGA NaLa2PtO6, relaxed
data_NaLa2PtO6
_cell_length_a 5.640
_cell_length_b 6.052
_cell_length_c 8.097
_cell_angle_alpha 90.00
_cell_angle_beta 89.41
_cell_angle_gamma 90.00
_symmetry_space_group_name_H-M 'P 1'
_symmetry_Int_Tables_number 1
_symmetry_space_group_name_Hall 'P 1'
loop_
_atom_site_label
_atom_site_type_symbol
_atom_site_fract_x
_atom_site_fract_y
_atom_site_fract_z
_atom_site_occupancy
O1 O 0.835 0.783 0.936 1
O2 O 0.665 0.283 0.564 1
O3 O 0.614 0.048 0.267 1
O4 O 0.165 0.217 0.064 1
O5 O 0.335 0.717 0.436 1
O6 O 0.795 0.825 0.553 1
O7 O 0.886 0.548 0.233 1
O8 O 0.295 0.675 0.053 1
O9 O 0.114 0.452 0.767 1
O10 O 0.705 0.325 0.947 1
O11 O 0.205 0.175 0.447 1
O12 O 0.386 0.952 0.733 1
Na1 Na 0.500 0.000 0.000 1
Na2 Na 0.000 0.500 0.500 1
La1 La 0.981 0.070 0.748 1
La2 La 0.481 0.430 0.248 1
La3 La 0.519 0.570 0.752 1
La4 La 0.019 0.930 0.252 1
Pt1 Pt 0.500 0.000 0.500 1
Pt2 Pt 0.000 0.500 0.000 1
# Mass density in g/cm³: 7.113
# ΔE_f (raw) in meV/atom: -2184.4

=====

Record 6
# PBE-GGA NaLaPuO6, relaxed
data_NaLaPuO6
_cell_length_a 5.044
_cell_length_b 5.680
_cell_length_c 5.680
_cell_angle_alpha 120.00
_cell_angle_beta 90.00
_cell_angle_gamma 90.00
_symmetry_space_group_name_H-M 'P 1'
_symmetry_Int_Tables_number 1
_symmetry_space_group_name_Hall 'P 1'
loop_
_atom_site_label
_atom_site_type_symbol
_atom_site_fract_x
_atom_site_fract_y
_atom_site_fract_z
_atom_site_occupancy
O1 O 0.721 0.283 0.990 1
O2 O 0.279 0.010 0.717 1
O3 O 0.279 0.283 0.292 1
O4 O 0.721 0.010 0.292 1
O5 O 0.279 0.708 0.990 1
O6 O 0.721 0.708 0.717 1
Na1 Na 0.500 0.667 0.333 1
Pu1 Pu 0.500 0.000 0.000 1
La1 La 0.000 0.333 0.667 1
# Mass density in g/cm³: 5.913
# ΔE_f (raw) in meV/atom: -2395.7

=====

Record 7
# PBE-GGA Na2LaPuO6, relaxed
data_Na2LaPuO6
_cell_length_a 5.845
_cell_length_b 6.046
_cell_length_c 8.432
_cell_angle_alpha 90.00
_cell_angle_beta 90.05
_cell_angle_gamma 90.00
_symmetry_space_group_name_H-M 'P 1'
_symmetry_Int_Tables_number 1
_symmetry_space_group_name_Hall 'P 1'
loop_
_atom_site_label
_atom_site_type_symbol
_atom_site_fract_x
_atom_site_fract_y
_atom_site_fract_z
_atom_site_occupancy
O1 O 0.786 0.827 0.547 1
O2 O 0.895 0.553 0.226 1
O3 O 0.395 0.947 0.726 1
O4 O 0.214 0.173 0.453 1
O5 O 0.105 0.447 0.774 1
O6 O 0.165 0.221 0.065 1
O7 O 0.605 0.053 0.274 1
O8 O 0.714 0.327 0.953 1
O9 O 0.286 0.673 0.047 1
O10 O 0.335 0.721 0.435 1
O11 O 0.835 0.779 0.935 1
O12 O 0.665 0.279 0.565 1
Pu1 Pu 0.000 0.500 0.000 1
Pu2 Pu 0.500 0.000 0.500 1
Na1 Na 0.005 0.961 0.257 1
Na2 Na 0.995 0.039 0.743 1
Na3 Na 0.505 0.539 0.757 1
Na4 Na 0.495 0.461 0.243 1
La1 La 0.000 0.500 0.500 1
La2 La 0.500 0.000 0.000 1
# Mass density in g/cm³: 5.849
# ΔE_f (raw) in meV/atom: -2498.1

=====

Record 8
# PBE-GGA NaLaPu2O8, relaxed
data_NaLaPu2O8
_cell_length_a 5.463
_cell_length_b 5.463
_cell_length_c 6.488
_cell_angle_alpha 114.90
_cell_angle_beta 114.90
_cell_angle_gamma 90.00
_symmetry_space_group_name_H-M 'P 1'
_symmetry_Int_Tables_number 1
_symmetry_space_group_name_Hall 'P 1'
loop_
_atom_site_label
_atom_site_type_symbol
_atom_site_fract_x
_atom_site_fract_y
_atom_site_fract_z
_atom_site_occupancy
O1 O 0.592 0.626 0.749 1
O2 O 0.593 0.124 0.750 1
O3 O 0.374 0.843 0.251 1
O4 O 0.876 0.843 0.250 1
O5 O 0.374 0.407 0.250 1
O6 O 0.157 0.626 0.750 1
O7 O 0.157 0.123 0.749 1
O8 O 0.877 0.408 0.251 1
La1 La 0.000 0.000 0.000 1
Na1 Na 0.750 0.250 0.500 1
Pu1 Pu 0.250 0.750 0.500 1
Pu2 Pu 0.500 0.500 0.000 1
# Mass density in g/cm³: 8.305
# ΔE_f (raw) in meV/atom: -2537.3

=====

Record 9
# PBE-GGA NaLa2PuO6, relaxed
data_NaLa2PuO6
_cell_length_a 5.854
_cell_length_b 6.023
_cell_length_c 9.049
_cell_angle_alpha 90.00
_cell_angle_beta 88.26
_cell_angle_gamma 90.00
_symmetry_space_group_name_H-M 'P 1'
_symmetry_Int_Tables_number 1
_symmetry_space_group_name_Hall 'P 1'
loop_
_atom_site_label
_atom_site_type_symbol
_atom_site_fract_x
_atom_site_fract_y
_atom_site_fract_z
_atom_site_occupancy
O1 O 0.807 0.771 0.896 1
O2 O 0.693 0.271 0.604 1
O3 O 0.654 0.091 0.289 1
O4 O 0.346 0.909 0.711 1
O5 O 0.274 0.694 0.059 1
O6 O 0.774 0.806 0.559 1
O7 O 0.193 0.229 0.104 1
O8 O 0.726 0.306 0.941 1
O9 O 0.226 0.194 0.441 1
O10 O 0.846 0.591 0.211 1
O11 O 0.307 0.729 0.396 1
O12 O 0.154 0.409 0.789 1
Pu1 Pu 0.000 0.500 0.000 1
Pu2 Pu 0.500 0.000 0.500 1
Na1 Na 0.000 0.500 0.500 1
Na2 Na 0.500 0.000 0.000 1
La1 La 0.969 0.050 0.742 1
La2 La 0.031 0.950 0.258 1
La3 La 0.469 0.450 0.242 1
La4 La 0.531 0.550 0.758 1
# Mass density in g/cm³: 6.673
# ΔE_f (raw) in meV/atom: -2984.3

=====

Record 10
# PBE-GGA Rb2Na2LaO4, relaxed
data_Rb2Na2LaO4
_cell_length_a 3.841
_cell_length_b 9.322
_cell_length_c 7.541
_cell_angle_alpha 133.19
_cell_angle_beta 104.75
_cell_angle_gamma 90.00
_symmetry_space_group_name_H-M 'P 1'
_symmetry_Int_Tables_number 1
_symmetry_space_group_name_Hall 'P 1'
loop_
_atom_site_label
_atom_site_type_symbol
_atom_site_fract_x
_atom_site_fract_y
_atom_site_fract_z
_atom_site_occupancy
O1 O 0.563 0.224 0.126 1
O2 O 0.437 0.776 0.874 1
O3 O 0.204 0.109 0.408 1
O4 O 0.796 0.891 0.592 1
Rb1 Rb 0.827 0.433 0.655 1
Rb2 Rb 0.173 0.567 0.345 1
Na1 Na 0.648 0.920 0.295 1
Na2 Na 0.352 0.080 0.705 1
La1 La 0.000 0.000 0.000 1
# Mass density in g/cm³: 3.779
# ΔE_f (raw) in meV/atom: -1721.2

=====

Record 11
# PBE-GGA NaLa2ReO8, relaxed
data_NaLa2ReO8
_cell_length_a 5.314
_cell_length_b 4.419
_cell_length_c 7.251
_cell_angle_alpha 75.95
_cell_angle_beta 90.59
_cell_angle_gamma 89.48
_symmetry_space_group_name_H-M 'P 1'
_symmetry_Int_Tables_number 1
_symmetry_space_group_name_Hall 'P 1'
loop_
_atom_site_label
_atom_site_type_symbol
_atom_site_fract_x
_atom_site_fract_y
_atom_site_fract_z
_atom_site_occupancy
O1 O 0.018 0.689 0.234 1
O2 O 0.288 0.188 0.089 1
O3 O 0.472 0.165 0.499 1
O4 O 0.230 0.782 0.886 1
O5 O 0.770 0.218 0.114 1
O6 O 0.528 0.835 0.501 1
O7 O 0.982 0.311 0.766 1
O8 O 0.712 0.812 0.911 1
La1 La 0.495 0.619 0.216 1
La2 La 0.505 0.381 0.784 1
Re1 Re 0.000 0.000 0.000 1
Na1 Na 0.000 0.000 0.500 1
# Mass density in g/cm³: 6.183
# ΔE_f (raw) in meV/atom: -2214.5

=====

Record 12
# PBE-GGA Na2LaRe3O12, relaxed
data_Na2LaRe3O12
_cell_length_a 6.820
_cell_length_b 6.820
_cell_length_c 6.820
_cell_angle_alpha 66.36
_cell_angle_beta 66.36
_cell_angle_gamma 66.36
_symmetry_space_group_name_H-M 'P 1'
_symmetry_Int_Tables_number 1
_symmetry_space_group_name_Hall 'P 1'
loop_
_atom_site_label
_atom_site_type_symbol
_atom_site_fract_x
_atom_site_fract_y
_atom_site_fract_z
_atom_site_occupancy
O1 O 0.903 0.267 0.267 1
O2 O 0.138 0.565 0.138 1
O3 O 0.565 0.138 0.138 1
O4 O 0.733 0.733 0.097 1
O5 O 0.862 0.862 0.435 1
O6 O 0.862 0.435 0.862 1
O7 O 0.267 0.267 0.903 1
O8 O 0.435 0.862 0.862 1
O9 O 0.138 0.138 0.565 1
O10 O 0.097 0.733 0.733 1
O11 O 0.733 0.097 0.733 1
O12 O 0.267 0.903 0.267 1
Re1 Re 0.500 0.000 0.000 1
Re2 Re 0.000 0.000 0.500 1
Re3 Re 0.000 0.500 0.000 1
Na1 Na 0.369 0.369 0.369 1
Na2 Na 0.631 0.631 0.631 1
La1 La 0.000 0.000 0.000 1
# Mass density in g/cm³: 6.090
# ΔE_f (raw) in meV/atom: -1846.3